Material: LiMgGa2Co
Method: DFT, PBE
State: optimized geometry

abc: 4.5381 4.5381 4.7707
angles: 90.00 90.00 90.00
Space group P4/mmm (No. 123)
Symmetry-distinct sites (fractional):
Li: 0.0000 0.0000 0.0000 x1
Mg: 0.5000 0.5000 0.0000 x1
Ga: 0.0000 0.5000 0.5000 x2
Co: 0.5000 0.5000 0.5000 x1

Results
- Total energy: -0.253 Ry/atom

---

Material: AcPuSc2
Method: DFT, PBE
State: optimized geometry

abc: 3.3926 3.3926 35.7203
angles: 90.00 90.00 120.00
Space group R-3m (No. 166, hexagonal axes)
Symmetry-distinct sites (fractional):
Ac: 0.0000 0.0000 0.0000 x3
Pu: 0.0000 0.0000 0.5000 x3
Sc: 0.0000 0.0000 0.0943 x6

Results
- Offset from the most stable computed form: 177 meV per atom

---

Material: Ta2BeCd
Method: DFT, PBE
State: optimized geometry

abc: 2.8352 2.8352 8.1691
angles: 90.00 90.00 90.00
Space group P4mm (No. 99)
Symmetry-distinct sites (fractional):
Ta: 0.0000 0.0000 0.0000 x1
Ta: 0.5000 0.5000 0.2911 x1
Be: 0.0000 0.0000 0.4974 x1
Cd: 0.5000 0.5000 0.7112 x1

Results
- Offset from the most stable computed form: 80 meV per atom

---

Respective spin magnetization values: 0.000; 1.429; 0.000 μB per atom.